No. 1
An optimized crystal structure of SmAgPbSe3. Source: OQMD via LeMat-Bulk, functional GGA-PBE.

Cell: 7.328 7.328 10.824 Å, 90.00 90.00 146.97°
Sites, in units of the cell vectors:
Sm 0.000 0.000 0.000
Sm 0.000 0.000 0.500
Ag 0.471 0.529 0.750
Ag 0.529 0.471 0.250
Pb 0.238 0.762 0.250
Pb 0.762 0.238 0.750
Se 0.093 0.907 0.750
Se 0.355 0.645 0.557
Se 0.355 0.645 0.943
Se 0.645 0.355 0.057
Se 0.645 0.355 0.443
Se 0.907 0.093 0.250

- Space group: Cmcm (63)
- ΔE to the lowest computed polymorph: 0.005 eV per atom

***

No. 2
An optimized crystal structure of SmTmSi2Pd. Source: OQMD via LeMat-Bulk, functional GGA-PBE.

Cell: 5.696 5.696 10.112 Å, 115.31 115.31 43.99°
Sites, in units of the cell vectors:
Sm 0.187 0.187 0.106
Sm 0.813 0.813 0.894
Tm 0.005 0.005 0.327
Tm 0.995 0.995 0.673
Si 0.370 0.370 0.435
Si 0.487 0.487 0.120
Si 0.513 0.513 0.880
Si 0.630 0.630 0.565
Pd 0.271 0.271 0.632
Pd 0.729 0.729 0.368

- Space group: C2/m (12)
- ΔE to the lowest computed polymorph: 0.000 eV per atom

***

No. 3
An optimized crystal structure of Cu4Ag. Source: OQMD via LeMat-Bulk, functional GGA-PBE.

Cell: 7.106 7.106 7.239 Å, 104.94 104.94 21.72°
Sites, in units of the cell vectors:
Cu 0.000 0.000 0.000
Cu 0.000 0.000 0.500
Cu 0.193 0.193 0.579
Cu 0.403 0.403 0.212
Cu 0.411 0.411 0.696
Cu 0.589 0.589 0.304
Cu 0.597 0.597 0.788
Cu 0.807 0.807 0.421
Ag 0.198 0.198 0.115
Ag 0.802 0.802 0.885

- Formation enthalpy at 0 K: 0.067 eV/atom
- Space group: C2/m (12)
- ΔE to the lowest computed polymorph: 0.023 eV per atom

***

No. 4
An optimized crystal structure of Gd2Co3Si5. Source: OQMD via LeMat-Bulk, functional GGA-PBE.

Cell: 7.892 7.892 7.892 Å, 105.50 88.95 138.68°
Sites, in units of the cell vectors:
Gd 0.133 0.234 0.368
Gd 0.367 0.734 0.101
Gd 0.633 0.266 0.899
Gd 0.867 0.766 0.632
Co 0.137 0.891 0.028
Co 0.250 0.750 0.500
Co 0.363 0.391 0.753
Co 0.637 0.609 0.247
Co 0.750 0.250 0.500
Co 0.863 0.109 0.972
Si 0.021 0.750 0.271
Si 0.102 0.656 0.758
Si 0.250 0.250 0.000
Si 0.398 0.156 0.555
Si 0.479 0.750 0.729
Si 0.521 0.250 0.271
Si 0.602 0.844 0.445
Si 0.750 0.750 0.000
Si 0.898 0.344 0.242
Si 0.979 0.250 0.729

- Space group: Ibam (72)

***

No. 5
An optimized crystal structure of SmTcNO. Source: OQMD via LeMat-Bulk, functional GGA-PBE.

Cell: 6.252 7.354 5.028 Å, 90.00 90.00 90.00°
Sites, in units of the cell vectors:
Sm 0.060 0.168 0.000
Sm 0.440 0.168 0.500
Sm 0.560 0.832 0.000
Sm 0.940 0.832 0.500
Tc 0.133 0.664 0.985
Tc 0.367 0.664 0.485
Tc 0.633 0.336 0.985
Tc 0.867 0.336 0.485
N 0.054 0.136 0.492
N 0.446 0.136 0.992
N 0.554 0.864 0.492
N 0.946 0.864 0.992
O 0.094 0.524 0.639
O 0.406 0.524 0.139
O 0.594 0.476 0.639
O 0.906 0.476 0.139

- Space group: Pca2_1 (29)
- ΔE to the lowest computed polymorph: 0.501 eV per atom

***

No. 6
An optimized crystal structure of Hf3GeCN. Source: OQMD via LeMat-Bulk, functional GGA-PBE.

Cell: 3.252 3.252 18.891 Å, 90.00 90.00 120.00°
Sites, in units of the cell vectors:
Hf 0.000 0.000 0.000
Hf 0.000 0.000 0.500
Hf 0.333 0.667 0.137
Hf 0.333 0.667 0.363
Hf 0.667 0.333 0.637
Hf 0.667 0.333 0.863
Ge 0.000 0.000 0.249
Ge 0.000 0.000 0.751
C 0.333 0.667 0.573
C 0.667 0.333 0.427
N 0.333 0.667 0.932
N 0.667 0.333 0.068

- Space group: P-3m1 (164)

***

No. 7
An optimized crystal structure of Pr3In3Pd2Au. Source: OQMD via LeMat-Bulk, functional GGA-PBE.

Cell: 7.828 7.828 4.129 Å, 90.00 90.00 120.00°
Sites, in units of the cell vectors:
Pr 0.000 0.587 0.000
Pr 0.413 0.413 0.000
Pr 0.587 0.000 0.000
In 0.000 0.258 0.500
In 0.258 0.000 0.500
In 0.742 0.742 0.500
Pd 0.333 0.667 0.500
Pd 0.667 0.333 0.500
Au 0.000 0.000 0.000

- Space group: P-62m (189)

***

No. 8
An optimized crystal structure of HfRe2Ir. Source: OQMD via LeMat-Bulk, functional GGA-PBE.

Cell: 4.500 4.500 4.500 Å, 60.00 60.00 60.00°
Sites, in units of the cell vectors:
Hf 0.000 0.000 0.000
Re 0.250 0.250 0.250
Re 0.500 0.500 0.500
Ir 0.750 0.750 0.750

- Formation enthalpy at 0 K: -0.039 eV/atom
- Space group: F-43m (216)

***

No. 9
An optimized crystal structure of ZrCoSiPd. Source: OQMD via LeMat-Bulk, functional GGA-PBE.

Cell: 4.434 4.434 4.434 Å, 60.00 60.00 60.00°
Sites, in units of the cell vectors:
Zr 0.000 0.000 0.000
Co 0.500 0.500 0.500
Si 0.250 0.250 0.250
Pd 0.750 0.750 0.750

- Space group: F-43m (216)
- ΔE to the lowest computed polymorph: 0.164 eV per atom

***

No. 10
An optimized crystal structure of ErMgAu. Source: OQMD via LeMat-Bulk, functional GGA-PBE.

Cell: 4.728 4.728 4.728 Å, 60.00 60.00 60.00°
Sites, in units of the cell vectors:
Er 0.000 0.000 0.000
Mg 0.500 0.500 0.500
Au 0.250 0.250 0.250

- Space group: F-43m (216)

***

No. 11
An optimized crystal structure of LiAg3MoSe4. Source: OQMD via LeMat-Bulk, functional GGA-PBE.

Cell: 6.222 6.222 6.222 Å, 90.00 90.00 90.00°
Sites, in units of the cell vectors:
Li 0.000 0.000 0.000
Ag 0.000 0.500 0.500
Ag 0.500 0.000 0.500
Ag 0.500 0.500 0.000
Mo 0.500 0.500 0.500
Se 0.267 0.267 0.267
Se 0.267 0.733 0.733
Se 0.733 0.267 0.733
Se 0.733 0.733 0.267

- Space group: P-43m (215)

***

No. 12
An optimized crystal structure of Lu4Hf2Fe3N3. Source: OQMD via LeMat-Bulk, functional GGA-PBE.

Cell: 5.716 5.716 14.200 Å, 101.58 101.58 58.90°
Sites, in units of the cell vectors:
Lu 0.033 0.196 0.095
Lu 0.136 0.299 0.403
Lu 0.196 0.033 0.595
Lu 0.299 0.136 0.903
Lu 0.701 0.864 0.097
Lu 0.804 0.967 0.405
Lu 0.864 0.701 0.597
Lu 0.967 0.804 0.905
Hf 0.378 0.523 0.101
Hf 0.477 0.622 0.399
Hf 0.523 0.378 0.601
Hf 0.622 0.477 0.899
Fe 0.232 0.768 0.750
Fe 0.237 0.381 0.750
Fe 0.381 0.237 0.250
Fe 0.619 0.763 0.750
Fe 0.763 0.619 0.250
Fe 0.768 0.232 0.250
N 0.000 0.500 0.000
N 0.192 0.651 0.498
N 0.349 0.808 0.002
N 0.500 0.000 0.500
N 0.651 0.192 0.998
N 0.808 0.349 0.502

- Space group: C2/c (15)

***

Record order is preserved below.
DFT total energy: -55.1 -59.5 -34.7 -130.8 -130.1 -117.3 -42.9 -43.8 -27.5 -10.9 -37.3 -192.0 eV per cell